Record 1
{"formula": "KLiInAg2", "functional": "PBE", "state": "optimized geometry", "lattice_angstrom": [[4.997, 0.000, 0.000], [0.000, 5.289, 0.000], [0.000, 0.000, 4.997]], "species": ["K", "Li", "Ag", "Ag", "In"], "frac_coords": [[0.000, 0.500, 0.000], [0.000, 0.000, 0.000], [0.000, 0.000, 0.500], [0.500, 0.000, 0.000], [0.500, 0.500, 0.500]], "final_energy_ev_per_atom": -1.979, "magmom_total_mub_per_fu": 0.00}

=====

Record 2
{"formula": "K3Y", "functional": "PBE", "state": "optimized geometry", "lattice_angstrom": [[15.321, 0.026, 0.015], [14.788, 4.003, 0.015], [14.788, 1.979, 3.480]], "species": ["K", "K", "K", "Y"], "frac_coords": [[0.742, 0.742, 0.742], [0.500, 0.500, 0.500], [0.258, 0.258, 0.258], [0.000, 0.000, 0.000]], "final_energy_ev_per_atom": -2.104, "magmom_total_mub_per_fu": 0.66}

=====

Record 3
{"formula": "BaLa2Si", "functional": "PBE", "state": "optimized geometry", "lattice_angstrom": [[5.658, 0.000, 0.000], [2.829, 4.900, 0.000], [2.829, 1.633, 4.620]], "species": ["Ba", "La", "La", "Si"], "frac_coords": [[0.500, 0.500, 0.500], [0.000, 0.000, 0.000], [0.250, 0.250, 0.250], [0.750, 0.750, 0.750]], "magmom_total_mub_per_fu": 2.79, "raw_formation_energy_ev_per_atom": 0.1654}

=====

Record 4
{"formula": "Mn2TlCd", "functional": "PBE", "state": "optimized geometry", "lattice_angstrom": [[4.797, 0.000, 0.000], [0.000, 3.062, 0.001], [0.000, -0.003, 5.085]], "species": ["Cd", "Mn", "Mn", "Tl"], "frac_coords": [[0.500, 0.625, 0.821], [0.000, 0.125, 0.946], [0.500, 0.125, 0.297], [0.000, 0.625, 0.436]], "final_energy_ev_per_atom": -4.980, "magmom_total_mub_per_fu": 7.32}

=====

Record 5
{"formula": "TmZr2Ni", "functional": "PBE", "state": "optimized geometry", "lattice_angstrom": [[5.749, 0.000, 0.000], [0.000, 6.257, 0.000], [0.000, 0.000, 9.613]], "species": ["Tm", "Tm", "Tm", "Tm", "Zr", "Zr", "Zr", "Zr", "Zr", "Zr", "Zr", "Zr", "Ni", "Ni", "Ni", "Ni"], "frac_coords": [[0.645, 0.529, 0.250], [0.855, 0.029, 0.250], [0.355, 0.471, 0.750], [0.145, 0.971, 0.750], [0.165, 0.682, 0.054], [0.335, 0.182, 0.446], [0.835, 0.318, 0.554], [0.665, 0.818, 0.946], [0.835, 0.318, 0.946], [0.665, 0.818, 0.554], [0.165, 0.682, 0.446], [0.335, 0.182, 0.054], [0.111, 0.394, 0.250], [0.389, 0.894, 0.250], [0.889, 0.606, 0.750], [0.611, 0.106, 0.750]], "de_polymorph_ev_per_fu": 0.00, "magmom_total_mub_per_fu": 0.00}

=====

Record 6
{"formula": "In2IBrN", "functional": "PBE", "state": "optimized geometry", "lattice_angstrom": [[-2.349, -5.992, 0.234], [3.688, -1.493, -1.207], [1.824, -0.475, 6.159]], "species": ["I", "N", "Br", "In", "In"], "frac_coords": [[0.000, 0.000, 0.000], [0.000, 0.500, 0.000], [0.500, 0.500, 0.500], [0.000, 0.000, 0.500], [0.500, 0.000, 0.000]], "magmom_total_mub_per_fu": 0.67, "raw_formation_energy_ev_per_atom": 0.6237}